Record 1
Below is crystalline BaPm3 at its relaxed geometry, with properties calculated at the PBE-GGA level.

Properties
M_tot: 0.0 μB/f.u.
energy relative to the lowest polymorph listed for this composition: 0.024 eV/atom
space group: Pm-3m
mass density: 6.2 g/cm³
energy relative to the elements: 20 kJ/mol of atoms

```
BaPm3
1.0
5.358 0.000 0.000
0.000 5.358 0.000
0.000 0.000 5.358
Ba Pm
1 3
Direct
0.000 0.000 0.000
0.000 0.500 0.500
0.500 0.000 0.500
0.500 0.500 0.000
```

=====

Record 2
Below is crystalline BaPm at its relaxed geometry, with properties calculated at the PBE-GGA level.

Properties
M_tot: 0.0 μB/f.u.
energy relative to the lowest polymorph listed for this composition: 0.000 eV/atom
space group: P4/nmm
mass density: 5.1 g/cm³
energy relative to the elements: 12 kJ/mol of atoms

```
BaPm
1.0
3.990 0.000 0.000
0.000 3.990 0.000
0.000 0.000 11.495
Ba Pm
2 2
Direct
0.250 0.250 0.154
0.750 0.750 0.846
0.250 0.250 0.595
0.750 0.750 0.405
```

=====

Record 3
Below is crystalline BaPm3 at its relaxed geometry, with properties calculated at the PBE-GGA level.

Properties
M_tot: 0.0 μB/f.u.
energy relative to the lowest polymorph listed for this composition: 0.000 eV/atom
space group: Pmm2
mass density: 6.1 g/cm³
energy relative to the elements: 17 kJ/mol of atoms

```
BaPm3
1.0
3.775 0.000 0.000
0.000 6.051 0.000
0.000 0.000 6.792
Ba Pm
1 3
Direct
0.000 0.000 0.000
0.000 0.500 0.661
0.500 0.000 0.496
0.500 0.500 0.200
```